# 1
VASP calculation (PBE) on PrNpSi after structural relaxation.

Properties
ΔE to the lowest computed polymorph = 0.0000 eV/atom
Raw total energy = -7.56 eV per atom
Volume = 28.45 A^3/atom
Space-group type = No. 216

a b c (Å): 4.942 4.942 4.942
angles (deg): 60.00 60.00 60.00
Fractional coordinates of all 3 atoms:
1 Si 0.000 0.000 0.000
2 Np 0.250 0.250 0.250
3 Pr 0.750 0.750 0.750


# 2
VASP calculation (PBE) on PrSmNp after structural relaxation.

Properties
ΔE to the lowest computed polymorph = 0.0000 eV/atom
Formation energy = 1.131 eV/atom
Raw total energy = -6.29 eV per atom
Volume = 34.12 A^3/atom
Space-group type = No. 216

a b c (Å): 5.251 5.251 5.251
angles (deg): 60.00 60.00 60.00
Fractional coordinates of all 3 atoms:
1 Pr 0.000 0.000 0.000
2 Np 0.250 0.250 0.250
3 Sm 0.750 0.750 0.750


# 3
VASP calculation (PBE) on SrPrNp after structural relaxation.

Properties
ΔE to the lowest computed polymorph = 0.0000 eV/atom
Raw total energy = -5.12 eV per atom
Volume = 41.23 A^3/atom
Space-group type = No. 216

a b c (Å): 5.593 5.593 5.593
angles (deg): 60.00 60.00 60.00
Site moments in Bohr magnetons follow the coordinates.
Fractional coordinates of all 3 atoms:
1 Sr 0.000 0.000 0.000  0.08
2 Np 0.500 0.500 0.500  4.44
3 Pr 0.250 0.250 0.250  0.49


# 4
VASP calculation (PBE) on PrNpTa after structural relaxation.

Properties
ΔE to the lowest computed polymorph = 0.0000 eV/atom
Formation energy = 1.491 eV/atom
Raw total energy = -8.31 eV per atom
Volume = 25.51 A^3/atom
Space-group type = No. 216

a b c (Å): 4.766 4.766 4.766
angles (deg): 60.00 60.00 60.00
Site moments in Bohr magnetons follow the coordinates.
Fractional coordinates of all 3 atoms:
1 Ta 0.750 0.750 0.750  0.12
2 Np 0.000 0.000 0.000  3.63
3 Pr 0.250 0.250 0.250  0.19


# 5
VASP calculation (PBE) on PrNpTc after structural relaxation.

Properties
Formation energy = 1.137 eV/atom
Raw total energy = -8.16 eV per atom
Volume = 23.31 A^3/atom
Space-group type = No. 216

a b c (Å): 4.624 4.624 4.624
angles (deg): 60.00 60.00 60.00
Fractional coordinates of all 3 atoms:
1 Tc 0.750 0.750 0.750
2 Np 0.000 0.000 0.000
3 Pr 0.250 0.250 0.250


# 6
VASP calculation (PBE) on PrThNp after structural relaxation.

Properties
Formation energy = 1.188 eV/atom
Raw total energy = -7.13 eV per atom
Volume = 32.11 A^3/atom
Space-group type = No. 216

a b c (Å): 5.146 5.146 5.146
angles (deg): 60.00 60.00 60.00
Fractional coordinates of all 3 atoms:
1 Np 0.250 0.250 0.250
2 Pr 0.000 0.000 0.000
3 Th 0.750 0.750 0.750


# 7
VASP calculation (PBE) on PrNpW after structural relaxation.

Properties
ΔE to the lowest computed polymorph = 0.0000 eV/atom
Formation energy = 1.044 eV/atom
Raw total energy = -9.12 eV per atom
Volume = 26.07 A^3/atom
Space-group type = No. 216

a b c (Å): 4.800 4.800 4.800
angles (deg): 60.00 60.00 60.00
Site moments in Bohr magnetons follow the coordinates.
Fractional coordinates of all 3 atoms:
1 W 0.250 0.250 0.250  -0.43
2 Np 0.000 0.000 0.000  3.57
3 Pr 0.500 0.500 0.500  0.03


# 8
VASP calculation (PBE) on PrYNp after structural relaxation.

Properties
ΔE to the lowest computed polymorph = 0.0000 eV/atom
Formation energy = 1.168 eV/atom
Raw total energy = -6.84 eV per atom
Volume = 31.36 A^3/atom
Space-group type = No. 216

a b c (Å): 5.105 5.105 5.105
angles (deg): 60.00 60.00 60.00
Site moments in Bohr magnetons follow the coordinates.
Fractional coordinates of all 3 atoms:
1 Pr 0.250 0.250 0.250  0.33
2 Np 0.500 0.500 0.500  4.11
3 Y 0.000 0.000 0.000  0.29


# 9
VASP calculation (PBE) on Np2Pt after structural relaxation.

Properties
Formation energy = 1.563 eV/atom
Raw total energy = -8.97 eV per atom
Volume = 78.86 A^3/atom
Space-group type = No. 227

a b c (Å): 8.747 8.747 8.747
angles (deg): 60.00 60.00 60.00
Site moments in Bohr magnetons follow the coordinates.
Fractional coordinates of all 6 atoms:
1 Np 0.375 0.375 0.875  4.28
2 Np 0.375 0.875 0.375  4.28
3 Np 0.875 0.375 0.375  4.10
4 Np 0.375 0.375 0.375  4.27
5 Pt 0.250 0.250 0.250  -0.13
6 Pt 0.500 0.500 0.500  -0.13


# 10
VASP calculation (PBE) on PuNpPt after structural relaxation.

Properties
ΔE to the lowest computed polymorph = 0.0000 eV/atom
Formation energy = -0.256 eV/atom
Raw total energy = -11.24 eV per atom
Volume = 26.77 A^3/atom
Space-group type = No. 216

a b c (Å): 4.843 4.843 4.843
angles (deg): 60.00 60.00 60.00
Fractional coordinates of all 3 atoms:
1 Np 0.250 0.250 0.250
2 Pt 0.000 0.000 0.000
3 Pu 0.750 0.750 0.750


# 11
VASP calculation (PBE) on NpRePt after structural relaxation.

Properties
ΔE to the lowest computed polymorph = 0.0000 eV/atom
Formation energy = 0.441 eV/atom
Raw total energy = -9.98 eV per atom
Volume = 20.41 A^3/atom
Space-group type = No. 216

a b c (Å): 4.424 4.424 4.424
angles (deg): 60.00 60.00 60.00
Site moments in Bohr magnetons follow the coordinates.
Fractional coordinates of all 3 atoms:
1 Re 0.250 0.250 0.250  -0.22
2 Pt 0.500 0.500 0.500  -0.04
3 Np 0.000 0.000 0.000  3.09


# 12
VASP calculation (PBE) on NpScPt after structural relaxation.

Properties
ΔE to the lowest computed polymorph = 0.4926 eV/atom
Formation energy = 0.161 eV/atom
Raw total energy = -8.22 eV per atom
Volume = 22.39 A^3/atom
Space-group type = No. 216

a b c (Å): 4.563 4.563 4.563
angles (deg): 60.00 60.00 60.00
Site moments in Bohr magnetons follow the coordinates.
Fractional coordinates of all 3 atoms:
1 Np 0.000 0.000 0.000  3.89
2 Sc 0.750 0.750 0.750  0.52
3 Pt 0.250 0.250 0.250  -0.09


# 13
VASP calculation (PBE) on NpScPt after structural relaxation.

Properties
ΔE to the lowest computed polymorph = 0.0000 eV/atom
Formation energy = -0.332 eV/atom
Raw total energy = -8.72 eV per atom
Volume = 24.82 A^3/atom
Space-group type = No. 216

a b c (Å): 4.722 4.722 4.722
angles (deg): 60.00 60.00 60.00
Fractional coordinates of all 3 atoms:
1 Pt 0.000 0.000 0.000
2 Np 0.250 0.250 0.250
3 Sc 0.750 0.750 0.750


# 14
VASP calculation (PBE) on NpSnPt after structural relaxation.

Properties
Raw total energy = -8.09 eV per atom
Volume = 24.72 A^3/atom
Space-group type = No. 216

a b c (Å): 4.716 4.716 4.716
angles (deg): 60.00 60.00 60.00
Fractional coordinates of all 3 atoms:
1 Sn 0.750 0.750 0.750
2 Np 0.250 0.250 0.250
3 Pt 0.000 0.000 0.000


# 15
VASP calculation (PBE) on NpSnPt after structural relaxation.

Properties
Raw total energy = -7.42 eV per atom
Volume = 26.35 A^3/atom
Space-group type = No. 216

a b c (Å): 4.818 4.818 4.818
angles (deg): 60.00 60.00 60.00
Site moments in Bohr magnetons follow the coordinates.
Fractional coordinates of all 3 atoms:
1 Pt 0.250 0.250 0.250  -0.07
2 Np 0.000 0.000 0.000  3.71
3 Sn 0.750 0.750 0.750  0.08


# 16
VASP calculation (PBE) on NpTaPt after structural relaxation.

Properties
ΔE to the lowest computed polymorph = 0.2948 eV/atom
Formation energy = 0.612 eV/atom
Raw total energy = -9.61 eV per atom
Volume = 21.53 A^3/atom
Space-group type = No. 216

a b c (Å): 4.503 4.503 4.503
angles (deg): 60.00 60.00 60.00
Site moments in Bohr magnetons follow the coordinates.
Fractional coordinates of all 3 atoms:
1 Np 0.000 0.000 0.000  2.95
2 Ta 0.750 0.750 0.750  0.32
3 Pt 0.250 0.250 0.250  -0.02


# 17
VASP calculation (PBE) on NpTaPt after structural relaxation.

Properties
ΔE to the lowest computed polymorph = 0.0000 eV/atom
Formation energy = 0.318 eV/atom
Raw total energy = -9.91 eV per atom
Volume = 22.17 A^3/atom
Space-group type = No. 216

a b c (Å): 4.548 4.548 4.548
angles (deg): 60.00 60.00 60.00
Fractional coordinates of all 3 atoms:
1 Np 0.250 0.250 0.250
2 Ta 0.750 0.750 0.750
3 Pt 0.000 0.000 0.000


# 18
VASP calculation (PBE) on TbNpPt after structural relaxation.

Properties
Formation energy = -0.332 eV/atom
Raw total energy = -8.15 eV per atom
Volume = 27.07 A^3/atom
Space-group type = No. 216

a b c (Å): 4.861 4.861 4.861
angles (deg): 60.00 60.00 60.00
Fractional coordinates of all 3 atoms:
1 Pt 0.000 0.000 0.000
2 Tb 0.750 0.750 0.750
3 Np 0.250 0.250 0.250


# 19
VASP calculation (PBE) on NpTcPt after structural relaxation.

Properties
Formation energy = 0.374 eV/atom
Raw total energy = -9.35 eV per atom
Volume = 20.91 A^3/atom
Space-group type = No. 216

a b c (Å): 4.460 4.460 4.460
angles (deg): 60.00 60.00 60.00
Fractional coordinates of all 3 atoms:
1 Np 0.250 0.250 0.250
2 Pt 0.000 0.000 0.000
3 Tc 0.750 0.750 0.750


# 20
VASP calculation (PBE) on NpTePt after structural relaxation.

Properties
ΔE to the lowest computed polymorph = 0.0000 eV/atom
Raw total energy = -7.79 eV per atom
Volume = 25.30 A^3/atom
Space-group type = No. 216

a b c (Å): 4.752 4.752 4.752
angles (deg): 60.00 60.00 60.00
Fractional coordinates of all 3 atoms:
1 Np 0.250 0.250 0.250
2 Pt 0.000 0.000 0.000
3 Te 0.750 0.750 0.750


# 21
VASP calculation (PBE) on NpTlPt after structural relaxation.

Properties
Raw total energy = -7.24 eV per atom
Volume = 25.80 A^3/atom
Space-group type = No. 216

a b c (Å): 4.784 4.784 4.784
angles (deg): 60.00 60.00 60.00
Fractional coordinates of all 3 atoms:
1 Pt 0.000 0.000 0.000
2 Np 0.250 0.250 0.250
3 Tl 0.750 0.750 0.750


# 22
VASP calculation (PBE) on NpZnPt after structural relaxation.

Properties
Formation energy = -0.247 eV/atom
Raw total energy = -6.94 eV per atom
Volume = 21.71 A^3/atom
Space-group type = No. 216

a b c (Å): 4.516 4.516 4.516
angles (deg): 60.00 60.00 60.00
Fractional coordinates of all 3 atoms:
1 Np 0.250 0.250 0.250
2 Zn 0.750 0.750 0.750
3 Pt 0.000 0.000 0.000


# 23
VASP calculation (PBE) on ZrNpPt after structural relaxation.

Properties
Formation energy = -0.138 eV/atom
Raw total energy = -9.26 eV per atom
Volume = 24.94 A^3/atom
Space-group type = No. 216

a b c (Å): 4.730 4.730 4.730
angles (deg): 60.00 60.00 60.00
Fractional coordinates of all 3 atoms:
1 Pt 0.000 0.000 0.000
2 Zr 0.750 0.750 0.750
3 Np 0.250 0.250 0.250


# 24
VASP calculation (PBE) on Pu2Np after structural relaxation.

Properties
Formation energy = 1.698 eV/atom
Raw total energy = -11.98 eV per atom
Volume = 51.58 A^3/atom
Space-group type = No. 227

a b c (Å): 7.592 7.592 7.592
angles (deg): 60.00 60.00 60.00
Site moments in Bohr magnetons follow the coordinates.
Fractional coordinates of all 6 atoms:
1 Pu 0.375 0.875 0.375  2.49
2 Pu 0.375 0.375 0.875  2.50
3 Pu 0.875 0.375 0.375  2.47
4 Pu 0.375 0.375 0.375  2.50
5 Np 0.500 0.500 0.500  0.07
6 Np 0.250 0.250 0.250  0.07


# 25
VASP calculation (PBE) on PuNp2 after structural relaxation.

Properties
Formation energy = 1.473 eV/atom
Raw total energy = -11.75 eV per atom
Volume = 49.56 A^3/atom
Space-group type = No. 227

a b c (Å): 7.492 7.492 7.492
angles (deg): 60.00 60.00 60.00
Site moments in Bohr magnetons follow the coordinates.
Fractional coordinates of all 6 atoms:
1 Np 0.375 0.875 0.375  -1.40
2 Np 0.375 0.375 0.375  -1.38
3 Np 0.375 0.375 0.875  -1.35
4 Np 0.875 0.375 0.375  -1.49
5 Pu 0.500 0.500 0.500  -0.23
6 Pu 0.250 0.250 0.250  -0.23


# 26
VASP calculation (PBE) on Pu2Np2S7 after structural relaxation.

Properties
Raw total energy = -9.06 eV per atom
Volume = 20.80 A^3/atom
Space-group type = No. 44

a b c (Å): 8.320 8.320 8.320
angles (deg): 152.81 68.44 118.55
Site moments in Bohr magnetons follow the coordinates.
Fractional coordinates of all 11 atoms:
1 S 0.503 0.112 0.391  -0.15
2 S 0.144 0.278 0.867  -0.16
3 S 0.070 0.886 0.184  -0.18
4 S 0.721 0.112 0.609  -0.15
5 S 0.701 0.886 0.816  -0.18
6 S 0.411 0.278 0.133  -0.16
7 S 0.013 0.513 0.500  -0.17
8 Np 0.337 0.837 0.500  3.47
9 Np 0.789 0.789 0.000  3.43
10 Pu 0.324 0.582 0.742  4.91
11 Pu 0.840 0.582 0.258  4.91


# 27
VASP calculation (PBE) on PuNpSb after structural relaxation.

Properties
Raw total energy = -10.23 eV per atom
Volume = 29.79 A^3/atom
Space-group type = No. 216

a b c (Å): 5.018 5.018 5.018
angles (deg): 60.00 60.00 60.00
Site moments in Bohr magnetons follow the coordinates.
Fractional coordinates of all 3 atoms:
1 Np 0.500 0.500 0.500  4.82
2 Pu 0.250 0.250 0.250  6.03
3 Sb 0.000 0.000 0.000  -0.08


# 28
VASP calculation (PBE) on PuNpSc after structural relaxation.

Properties
ΔE to the lowest computed polymorph = 0.0000 eV/atom
Formation energy = 0.860 eV/atom
Raw total energy = -10.22 eV per atom
Volume = 20.71 A^3/atom
Space-group type = No. 216

a b c (Å): 4.446 4.446 4.446
angles (deg): 60.00 60.00 60.00
Site moments in Bohr magnetons follow the coordinates.
Fractional coordinates of all 3 atoms:
1 Sc 0.750 0.750 0.750  0.18
2 Pu 0.000 0.000 0.000  4.37
3 Np 0.250 0.250 0.250  -0.22


# 29
VASP calculation (PBE) on PuNpSn after structural relaxation.

Properties
ΔE to the lowest computed polymorph = 0.0000 eV/atom
Raw total energy = -9.96 eV per atom
Volume = 28.00 A^3/atom
Space-group type = No. 216

a b c (Å): 4.916 4.916 4.916
angles (deg): 60.00 60.00 60.00
Site moments in Bohr magnetons follow the coordinates.
Fractional coordinates of all 3 atoms:
1 Np 0.000 0.000 0.000  4.50
2 Sn 0.750 0.750 0.750  -0.10
3 Pu 0.250 0.250 0.250  5.88


# 30
VASP calculation (PBE) on PuNpTa after structural relaxation.

Properties
ΔE to the lowest computed polymorph = 0.0000 eV/atom
Formation energy = 0.848 eV/atom
Raw total energy = -12.07 eV per atom
Volume = 19.82 A^3/atom
Space-group type = No. 216

a b c (Å): 4.381 4.381 4.381
angles (deg): 60.00 60.00 60.00
Site moments in Bohr magnetons follow the coordinates.
Fractional coordinates of all 3 atoms:
1 Ta 0.750 0.750 0.750  -0.14
2 Pu 0.250 0.250 0.250  1.70
3 Np 0.000 0.000 0.000  -1.03


# 31
VASP calculation (PBE) on PuNpTe after structural relaxation.

Properties
ΔE to the lowest computed polymorph = 0.0000 eV/atom
Raw total energy = -9.97 eV per atom
Volume = 27.61 A^3/atom
Space-group type = No. 216

a b c (Å): 4.893 4.893 4.893
angles (deg): 60.00 60.00 60.00
Site moments in Bohr magnetons follow the coordinates.
Fractional coordinates of all 3 atoms:
1 Te 0.000 0.000 0.000  -0.04
2 Np 0.250 0.250 0.250  4.53
3 Pu 0.750 0.750 0.750  5.83


# 32
VASP calculation (PBE) on PuNpU after structural relaxation.

Properties
ΔE to the lowest computed polymorph = 0.0000 eV/atom
Formation energy = 0.261 eV/atom
Raw total energy = -12.47 eV per atom
Volume = 19.35 A^3/atom
Space-group type = No. 216

a b c (Å): 4.346 4.346 4.346
angles (deg): 60.00 60.00 60.00
Site moments in Bohr magnetons follow the coordinates.
Fractional coordinates of all 3 atoms:
1 U 0.750 0.750 0.750  -0.11
2 Np 0.250 0.250 0.250  -0.40
3 Pu 0.000 0.000 0.000  0.63